Record 1
The following is a DFT calculation (PBE-GGA) of an optimized crystal structure of CaPm8Sb6.

```
CaPm8Sb6
1.0
4.1741 2.4099 8.3031
-4.1741 2.4099 8.3031
0.0000 -4.8199 8.3031
Ca Pm Sb
1 8 6
direct
0.0000 0.0000 0.0000
0.1225 0.4463 0.7950
0.2050 0.8775 0.5537
0.3332 0.3332 0.3332
0.4463 0.7950 0.1225
0.5537 0.2050 0.8775
0.6668 0.6668 0.6668
0.7950 0.1225 0.4463
0.8775 0.5537 0.2050
0.0681 0.7309 0.4076
0.2691 0.5924 0.9319
0.4076 0.0681 0.7309
0.5924 0.9319 0.2691
0.7309 0.4076 0.0681
0.9319 0.2691 0.5924
```

formation energy (no corrections): -0.8047 eV per atom
calculated density: 6.40 g/cm³
space-group type: R-3, No. 148

---

Record 2
The following is a DFT calculation (PBE-GGA) of an optimized crystal structure of Sr8CaIn2.

```
Sr8CaIn2
1.0
10.4357 -2.8542 0.0000
10.4357 2.8542 0.0000
-3.3869 0.0000 8.4072
Sr Ca In
8 1 2
direct
0.0386 0.0386 0.2504
0.1871 0.1871 0.7908
0.3202 0.3202 0.5541
0.3964 0.3964 0.0140
0.6036 0.6036 0.9860
0.6798 0.6798 0.4459
0.8129 0.8129 0.2092
0.9614 0.9614 0.7496
0.5000 0.5000 0.5000
0.1921 0.1921 0.1890
0.8079 0.8079 0.8110
```

calculated density: 3.22 g/cm³
ΔH_f (0 K): -153 meV per atom
space-group type: C2/m, No. 12

---

no.,DOS(E_F) (states/eV per atom)
1,1.12
2,1.11